No. 1
LiTh3 after structural relaxation. Source: the Alexandria database, functional PBE-GGA.

Results
- crystal system = orthorhombic
- ΔH_f (0 K) (meV/atom) = 330
- symmetry = Pmm2, No. 25
- energy above the lowest structure with this stoichiometry (meV/atom) = 160
- total magnetic moment (Bohr magnetons per cell) = 0.00
- energy (eV per cell) = -22.854

a b c (Å): 3.371 3.394 10.900
angles (deg): 90.00 90.00 90.00
Fractional coordinates of all 4 atoms:
Li 0.000 0.000 0.000
Th 0.000 0.500 0.266
Th 0.500 0.000 0.506
Th 0.500 0.500 0.773

No. 2
TmZn4Ag7 after structural relaxation. Source: the Alexandria database, functional PBE-GGA.

Results
- crystal system = monoclinic
- ΔH_f (0 K) (meV/atom) = 89
- symmetry = C2/m, No. 12
- total magnetic moment (Bohr magnetons per cell) = 0.00
- energy (eV per cell) = -28.460

a b c (Å): 6.085 6.085 9.608
angles (deg): 119.44 119.44 49.76
Fractional coordinates of all 12 atoms:
Tm 0.000 0.000 0.000
Zn 0.297 0.297 0.681
Zn 0.423 0.423 0.222
Zn 0.577 0.577 0.778
Zn 0.703 0.703 0.319
Ag 0.058 0.058 0.383
Ag 0.214 0.214 0.897
Ag 0.340 0.340 0.428
Ag 0.500 0.500 0.000
Ag 0.660 0.660 0.572
Ag 0.786 0.786 0.103
Ag 0.942 0.942 0.617

No. 3
CaCd2ReAs after structural relaxation. Source: the Alexandria database, functional PBE-GGA.

Results
- crystal system = tetragonal
- ΔH_f (0 K) (meV/atom) = 624
- symmetry = P4/mmm, No. 123
- total magnetic moment (Bohr magnetons per cell) = 0.00
- energy (eV per cell) = -17.809

a b c (Å): 5.239 5.239 4.689
angles (deg): 90.00 90.00 90.00
Fractional coordinates of all 5 atoms:
Ca 0.000 0.000 0.000
Cd 0.000 0.500 0.500
Cd 0.500 0.000 0.500
Re 0.500 0.500 0.000
As 0.500 0.500 0.500

No. 4
CaLa2Al2 after structural relaxation. Source: the Alexandria database, functional PBE-GGA.

Results
- crystal system = tetragonal
- ΔH_f (0 K) (meV/atom) = -149
- symmetry = P4/mbm, No. 127
- energy above the lowest structure with this stoichiometry (meV/atom) = 122
- total magnetic moment (Bohr magnetons per cell) = 0.00
- energy (eV per cell) = -40.169

a b c (Å): 9.238 9.238 3.472
angles (deg): 90.00 90.00 90.00
Fractional coordinates of all 10 atoms:
Ca 0.000 0.000 0.000
Ca 0.500 0.500 0.000
La 0.122 0.378 0.000
La 0.378 0.878 0.000
La 0.622 0.122 0.000
La 0.878 0.622 0.000
Al 0.174 0.674 0.500
Al 0.326 0.174 0.500
Al 0.674 0.826 0.500
Al 0.826 0.326 0.500

No. 5
SrTe2F11 after structural relaxation. Source: the Alexandria database, functional PBE-GGA.

Results
- crystal system = orthorhombic
- symmetry = Ibam, No. 72
- energy relative to the elements, uncorrected (eV per atom) = -2.46
- total magnetic moment (Bohr magnetons per cell) = 1.99
- energy (eV per cell) = -125.983

a b c (Å): 8.727 8.727 8.727
angles (deg): 114.25 112.01 102.39
Fractional coordinates of all 28 atoms:
Sr 0.250 0.250 0.000
Sr 0.750 0.750 0.000
Te 0.169 0.665 0.835
Te 0.331 0.165 0.496
Te 0.669 0.835 0.504
Te 0.831 0.335 0.165
F 0.000 0.500 0.500
F 0.051 0.344 0.139
F 0.080 0.950 0.289
F 0.161 0.450 0.871
F 0.198 0.312 0.510
F 0.205 0.912 0.861
F 0.295 0.156 0.707
F 0.302 0.812 0.114
F 0.339 0.209 0.289
F 0.420 0.709 0.871
F 0.449 0.588 0.293
F 0.500 0.000 0.500
F 0.551 0.412 0.707
F 0.580 0.291 0.129
F 0.661 0.791 0.711
F 0.698 0.188 0.886
F 0.705 0.844 0.293
F 0.795 0.088 0.139
F 0.802 0.688 0.490
F 0.839 0.550 0.129
F 0.920 0.050 0.711
F 0.949 0.656 0.861

No. 6
Cs3Rb2S after structural relaxation. Source: the Alexandria database, functional PBE-GGA.

Results
- crystal system = orthorhombic
- symmetry = Cmcm, No. 63
- energy relative to the elements, uncorrected (eV per atom) = -0.41
- total magnetic moment (Bohr magnetons per cell) = 0.00
- energy (eV per cell) = -22.113

a b c (Å): 10.760 10.760 9.632
angles (deg): 90.00 90.00 72.79
Fractional coordinates of all 12 atoms:
Cs 0.003 0.318 0.750
Cs 0.200 0.800 0.750
Cs 0.318 0.003 0.250
Cs 0.682 0.997 0.750
Cs 0.800 0.200 0.250
Cs 0.997 0.682 0.250
Rb 0.386 0.386 0.000
Rb 0.386 0.386 0.500
Rb 0.614 0.614 0.000
Rb 0.614 0.614 0.500
S 0.452 0.548 0.750
S 0.548 0.452 0.250

No. 7
AlCd2F2 after structural relaxation. Source: the Alexandria database, functional PBE-GGA.

Results
- crystal system = tetragonal
- symmetry = I4/mmm, No. 139
- energy relative to the elements, uncorrected (eV per atom) = -0.73
- energy above the lowest structure with this stoichiometry (meV/atom) = 160
- total magnetic moment (Bohr magnetons per cell) = 0.00
- energy (eV per cell) = -25.918

a b c (Å): 3.894 3.894 13.260
angles (deg): 90.00 90.00 90.00
Fractional coordinates of all 10 atoms:
Al 0.000 0.000 0.000
Al 0.500 0.500 0.500
Cd 0.000 0.500 0.250
Cd 0.000 0.500 0.750
Cd 0.500 0.000 0.250
Cd 0.500 0.000 0.750
F 0.000 0.000 0.396
F 0.000 0.000 0.604
F 0.500 0.500 0.104
F 0.500 0.500 0.896

No. 8
Mg2BeF2 after structural relaxation. Source: the Alexandria database, functional PBE-GGA.

Results
- crystal system = tetragonal
- symmetry = I4/mmm, No. 139
- energy relative to the elements, uncorrected (eV per atom) = -1.31
- energy above the lowest structure with this stoichiometry (meV/atom) = 0
- total magnetic moment (Bohr magnetons per cell) = 0.00
- energy (eV per cell) = -34.416

a b c (Å): 5.087 5.087 6.202
angles (deg): 90.00 90.00 90.00
Fractional coordinates of all 10 atoms:
Mg 0.000 0.500 0.250
Mg 0.000 0.500 0.750
Mg 0.500 0.000 0.250
Mg 0.500 0.000 0.750
Be 0.000 0.000 0.000
Be 0.500 0.500 0.500
F 0.000 0.000 0.249
F 0.000 0.000 0.751
F 0.500 0.500 0.251
F 0.500 0.500 0.749

No. 9
MgFePCl2 after structural relaxation. Source: the Alexandria database, functional PBE-GGA.

Results
- crystal system = tetragonal
- symmetry = P4/mmm, No. 123
- energy relative to the elements, uncorrected (eV per atom) = -0.11
- energy above the lowest structure with this stoichiometry (meV/atom) = 0
- total magnetic moment (Bohr magnetons per cell) = 3.30
- energy (eV per cell) = -19.708

a b c (Å): 4.562 4.562 4.928
angles (deg): 90.00 90.00 90.00
Fractional coordinates of all 5 atoms:
Mg 0.000 0.000 0.000
Fe 0.500 0.500 0.500
P 0.500 0.500 0.000
Cl 0.000 0.500 0.500
Cl 0.500 0.000 0.500

No. 10
Mg2I3Cl after structural relaxation. Source: the Alexandria database, functional PBE-GGA.

Results
- crystal system = monoclinic
- symmetry = C2/m, No. 12
- energy relative to the elements, uncorrected (eV per atom) = -1.23
- total magnetic moment (Bohr magnetons per cell) = 0.00
- energy (eV per cell) = -34.165

a b c (Å): 10.006 10.006 13.900
angles (deg): 124.47 124.47 23.64
Fractional coordinates of all 12 atoms:
Mg 0.236 0.236 0.117
Mg 0.262 0.262 0.640
Mg 0.738 0.738 0.360
Mg 0.764 0.764 0.883
I 0.125 0.125 0.191
I 0.351 0.351 0.526
I 0.362 0.362 0.068
I 0.638 0.638 0.932
I 0.649 0.649 0.474
I 0.875 0.875 0.809
Cl 0.190 0.190 0.744
Cl 0.810 0.810 0.256

No. 11
Pa4Ge6Ru7 after structural relaxation. Source: the Alexandria database, functional PBE-GGA.

Results
- crystal system = cubic
- ΔH_f (0 K) (meV/atom) = -717
- symmetry = Im-3m, No. 229
- total magnetic moment (Bohr magnetons per cell) = 0.00
- energy (eV per cell) = -142.800

a b c (Å): 7.266 7.266 7.266
angles (deg): 109.47 109.47 109.47
Fractional coordinates of all 17 atoms:
Pa 0.000 0.000 0.500
Pa 0.000 0.500 0.000
Pa 0.500 0.000 0.000
Pa 0.500 0.500 0.500
Ge 0.000 0.313 0.313
Ge 0.000 0.687 0.687
Ge 0.313 0.000 0.313
Ge 0.313 0.313 0.000
Ge 0.687 0.000 0.687
Ge 0.687 0.687 0.000
Ru 0.000 0.000 0.000
Ru 0.250 0.500 0.750
Ru 0.250 0.750 0.500
Ru 0.500 0.250 0.750
Ru 0.500 0.750 0.250
Ru 0.750 0.250 0.500
Ru 0.750 0.500 0.250

No. 12
Sr2Pt2Au after structural relaxation. Source: the Alexandria database, functional PBE-GGA.

Results
- crystal system = tetragonal
- ΔH_f (0 K) (meV/atom) = -632
- symmetry = I4/mmm, No. 139
- energy above the lowest structure with this stoichiometry (meV/atom) = 184
- total magnetic moment (Bohr magnetons per cell) = 0.00
- energy (eV per cell) = -43.765

a b c (Å): 5.859 5.859 8.003
angles (deg): 90.00 90.00 90.00
Fractional coordinates of all 10 atoms:
Sr 0.000 0.500 0.250
Sr 0.000 0.500 0.750
Sr 0.500 0.000 0.250
Sr 0.500 0.000 0.750
Pt 0.000 0.000 0.161
Pt 0.000 0.000 0.839
Pt 0.500 0.500 0.339
Pt 0.500 0.500 0.661
Au 0.000 0.000 0.500
Au 0.500 0.500 0.000